Here is a geometry-optimized V2AsH structure from the Alexandria database. Energies are from PBE.

Properties
- Total energy: -6.67 eV per atom

CIF file:
```
data_V2AsH
_space_group_name_H-M_alt 'P 1'
_space_group_IT_number 1
_space_group_name_Hall 'P 1'
_cell_length_a 3.0364
_cell_length_b 3.0364
_cell_length_c 6.0032
_cell_angle_alpha 75.35
_cell_angle_beta 75.35
_cell_angle_gamma 60.00
loop_
_atom_site_label
_atom_site_type_symbol
_atom_site_fract_x
_atom_site_fract_y
_atom_site_fract_z
H1 H 0.0000 0.0000 0.0000
As1 As 0.5000 0.5000 0.5000
V1 V 0.2790 0.2790 0.1630
V2 V 0.7210 0.7210 0.8370
```


Here is a geometry-optimized Ca3Si structure from the Alexandria database. Energies are from PBE.

Properties
- Total energy: -3.08 eV per atom

CIF file:
```
data_Ca3Si
_space_group_name_H-M_alt 'P 1'
_space_group_IT_number 1
_space_group_name_Hall 'P 1'
_cell_length_a 5.2263
_cell_length_b 5.2263
_cell_length_c 9.7628
_cell_angle_alpha 90.00
_cell_angle_beta 90.00
_cell_angle_gamma 119.84
loop_
_atom_site_label
_atom_site_type_symbol
_atom_site_fract_x
_atom_site_fract_y
_atom_site_fract_z
Ca1 Ca 0.9992 0.0008 0.7500
Ca2 Ca 0.3331 0.6669 0.9316
Ca3 Ca 0.3331 0.6669 0.5684
Ca4 Ca 0.6669 0.3331 0.4316
Ca5 Ca 0.6669 0.3331 0.0684
Ca6 Ca 0.0008 0.9992 0.2500
Si1 Si 0.3344 0.6656 0.2500
Si2 Si 0.6656 0.3344 0.7500
```


Here is a geometry-optimized Sr2Nd structure from the Alexandria database. Energies are from PBE.

Properties
- E_form: 0.142 eV per atom
- Total energy: -2.57 eV per atom

CIF file:
```
data_Sr2Nd
_space_group_name_H-M_alt 'P 1'
_space_group_IT_number 1
_space_group_name_Hall 'P 1'
_cell_length_a 3.9833
_cell_length_b 3.9833
_cell_length_c 9.1023
_cell_angle_alpha 102.64
_cell_angle_beta 102.64
_cell_angle_gamma 90.00
loop_
_atom_site_label
_atom_site_type_symbol
_atom_site_fract_x
_atom_site_fract_y
_atom_site_fract_z
Sr1 Sr 0.6566 0.6566 0.3133
Sr2 Sr 0.3434 0.3434 0.6867
Nd1 Nd 0.0000 0.0000 0.0000
```


Here is a geometry-optimized Tb2DyHoTl2 structure from the Alexandria database. Energies are from PBE.

Properties
- E_form: -0.270 eV per atom
- Total energy: -4.13 eV per atom

CIF file:
```
data_Tb2DyHoTl2
_space_group_name_H-M_alt 'P 1'
_space_group_IT_number 1
_space_group_name_Hall 'P 1'
_cell_length_a 5.1038
_cell_length_b 6.8071
_cell_length_c 9.9904
_cell_angle_alpha 90.00
_cell_angle_beta 90.00
_cell_angle_gamma 90.00
loop_
_atom_site_label
_atom_site_type_symbol
_atom_site_fract_x
_atom_site_fract_y
_atom_site_fract_z
Tb1 Tb 0.5000 0.0528 0.0416
Tb2 Tb 0.0000 0.3327 0.1869
Tb3 Tb 0.5000 0.5528 0.9584
Tb4 Tb 0.0000 0.8327 0.8131
Dy1 Dy 0.0000 0.9624 0.4586
Dy2 Dy 0.0000 0.4624 0.5414
Ho1 Ho 0.5000 0.1814 0.6868
Ho2 Ho 0.5000 0.6814 0.3132
Tl1 Tl 0.0000 0.2991 0.8637
Tl2 Tl 0.5000 0.2172 0.3676
Tl3 Tl 0.0000 0.7991 0.1363
Tl4 Tl 0.5000 0.7172 0.6324
```


Here is a geometry-optimized OsRu2Cl structure from the Alexandria database. Energies are from PBE.

Properties
- Total energy: -7.43 eV per atom

CIF file:
```
data_OsRu2Cl
_space_group_name_H-M_alt 'P 1'
_space_group_IT_number 1
_space_group_name_Hall 'P 1'
_cell_length_a 2.8176
_cell_length_b 2.8176
_cell_length_c 7.3789
_cell_angle_alpha 90.00
_cell_angle_beta 90.00
_cell_angle_gamma 90.00
loop_
_atom_site_label
_atom_site_type_symbol
_atom_site_fract_x
_atom_site_fract_y
_atom_site_fract_z
Cl1 Cl 0.5000 0.5000 0.2500
Os1 Os 0.5000 0.5000 0.7500
Ru1 Ru 0.0000 0.0000 0.9920
Ru2 Ru 0.0000 0.0000 0.5080
```


Here is a geometry-optimized CsLiTeN2 structure from the Alexandria database. Energies are from PBE.

Properties
- Total energy: -3.61 eV per atom

CIF file:
```
data_CsLiTeN2
_space_group_name_H-M_alt 'P 1'
_space_group_IT_number 1
_space_group_name_Hall 'P 1'
_cell_length_a 4.4406
_cell_length_b 4.4406
_cell_length_c 4.9892
_cell_angle_alpha 90.00
_cell_angle_beta 90.00
_cell_angle_gamma 90.00
loop_
_atom_site_label
_atom_site_type_symbol
_atom_site_fract_x
_atom_site_fract_y
_atom_site_fract_z
Cs1 Cs 0.5000 0.5000 0.5000
Te1 Te 0.0000 0.0000 0.0000
Li1 Li 0.0000 0.0000 0.5000
N1 N 0.0000 0.5000 0.0000
N2 N 0.5000 0.0000 0.0000
```


Here is a geometry-optimized K3CoNi structure from the Alexandria database. Energies are from PBE.

Properties
- E_form: 1.067 eV per atom
- Total energy: -2.17 eV per atom

CIF file:
```
data_K3CoNi
_space_group_name_H-M_alt 'P 1'
_space_group_IT_number 1
_space_group_name_Hall 'P 1'
_cell_length_a 6.0088
_cell_length_b 6.0088
_cell_length_c 6.0088
_cell_angle_alpha 90.00
_cell_angle_beta 90.00
_cell_angle_gamma 90.00
loop_
_atom_site_label
_atom_site_type_symbol
_atom_site_fract_x
_atom_site_fract_y
_atom_site_fract_z
Ni1 Ni 0.0000 0.0000 0.0000
K1 K 0.0000 0.5000 0.0000
K2 K 0.0000 0.0000 0.5000
K3 K 0.5000 0.0000 0.0000
Co1 Co 0.5000 0.5000 0.5000
```


Here is a geometry-optimized CePm2PrP4 structure from the Alexandria database. Energies are from PBE.

Properties
- E_form: -1.541 eV per atom
- Total energy: -6.77 eV per atom

CIF file:
```
data_CePm2PrP4
_space_group_name_H-M_alt 'P 1'
_space_group_IT_number 1
_space_group_name_Hall 'P 1'
_cell_length_a 4.1378
_cell_length_b 7.1663
_cell_length_c 7.1610
_cell_angle_alpha 109.39
_cell_angle_beta 90.00
_cell_angle_gamma 90.00
loop_
_atom_site_label
_atom_site_type_symbol
_atom_site_fract_x
_atom_site_fract_y
_atom_site_fract_z
Ce1 Ce 0.5000 0.5000 0.0000
Pm1 Pm 0.5000 0.0000 0.5000
Pm2 Pm 0.0000 0.5000 0.5000
Pr1 Pr 0.0000 0.0000 0.0000
P1 P 0.5000 0.2557 0.2500
P2 P 0.5000 0.7443 0.7500
P3 P 0.0000 0.2554 0.7525
P4 P 0.0000 0.7446 0.2475
```


Here is a geometry-optimized Ho11Ag9Pd4 structure from the Alexandria database. Energies are from PBE.

Properties
- E_form: -0.509 eV per atom
- Total energy: -4.54 eV per atom

CIF file:
```
data_Ho11Ag9Pd4
_space_group_name_H-M_alt 'P 1'
_space_group_IT_number 1
_space_group_name_Hall 'P 1'
_cell_length_a 3.6135
_cell_length_b 12.7875
_cell_length_c 12.7875
_cell_angle_alpha 112.36
_cell_angle_beta 90.00
_cell_angle_gamma 90.00
loop_
_atom_site_label
_atom_site_type_symbol
_atom_site_fract_x
_atom_site_fract_y
_atom_site_fract_z
Ho1 Ho 0.0000 0.5865 0.9272
Ho2 Ho 0.0000 0.4135 0.0728
Ho3 Ho 0.0000 0.9272 0.5865
Ho4 Ho 0.0000 0.0728 0.4135
Ho5 Ho 0.0000 0.6365 0.3635
Ho6 Ho 0.0000 0.3635 0.6365
Ho7 Ho 0.0000 0.8324 0.1676
Ho8 Ho 0.0000 0.1676 0.8324
Ho9 Ho 0.0000 0.0000 0.0000
Ho10 Ho 0.0000 0.7140 0.7140
Ho11 Ho 0.0000 0.2861 0.2861
Ag1 Ag 0.5000 0.6297 0.1516
Ag2 Ag 0.5000 0.3703 0.8484
Ag3 Ag 0.5000 0.1516 0.6297
Ag4 Ag 0.5000 0.8484 0.3703
Ag5 Ag 0.5000 0.7907 0.9433
Ag6 Ag 0.5000 0.2093 0.0567
Ag7 Ag 0.5000 0.9433 0.7907
Ag8 Ag 0.5000 0.0567 0.2093
Ag9 Ag 0.5000 0.5000 0.5000
Pd1 Pd 0.5000 0.5518 0.7456
Pd2 Pd 0.5000 0.4482 0.2544
Pd3 Pd 0.5000 0.7456 0.5518
Pd4 Pd 0.5000 0.2544 0.4482
```


Here is a geometry-optimized TbPm2Y4Sc structure from the Alexandria database. Energies are from PBE.

Properties
- E_form: 0.035 eV per atom
- Total energy: -5.75 eV per atom

CIF file:
```
data_TbPm2Y4Sc
_space_group_name_H-M_alt 'P 1'
_space_group_IT_number 1
_space_group_name_Hall 'P 1'
_cell_length_a 5.0290
_cell_length_b 5.0325
_cell_length_c 11.2088
_cell_angle_alpha 63.35
_cell_angle_beta 90.00
_cell_angle_gamma 90.00
loop_
_atom_site_label
_atom_site_type_symbol
_atom_site_fract_x
_atom_site_fract_y
_atom_site_fract_z
Tb1 Tb 0.5000 0.5000 0.0000
Pm1 Pm 0.0000 0.0000 0.0000
Pm2 Pm 0.5000 0.0000 0.5000
Y1 Y 0.0000 0.7551 0.7450
Y2 Y 0.0000 0.2449 0.2549
Y3 Y 0.5000 0.7451 0.2549
Y4 Y 0.5000 0.2549 0.7451
Sc1 Sc 0.0000 0.5000 0.5000
```


Here is a geometry-optimized ZnHgPt structure from the Alexandria database. Energies are from PBE.

Properties
- E_form: -0.112 eV per atom
- Total energy: -2.65 eV per atom

CIF file:
```
data_ZnHgPt
_space_group_name_H-M_alt 'P 1'
_space_group_IT_number 1
_space_group_name_Hall 'P 1'
_cell_length_a 6.2945
_cell_length_b 6.2941
_cell_length_c 2.9752
_cell_angle_alpha 76.34
_cell_angle_beta 76.32
_cell_angle_gamma 27.34
loop_
_atom_site_label
_atom_site_type_symbol
_atom_site_fract_x
_atom_site_fract_y
_atom_site_fract_z
Hg1 Hg 0.9987 0.9987 0.0013
Pt1 Pt 0.3166 0.3166 0.6834
Zn1 Zn 0.6847 0.6847 0.3153
```


Here is a geometry-optimized Sr3Pu2NbN6 structure from the Alexandria database. Energies are from PBE.

Properties
- Total energy: -8.84 eV per atom

CIF file:
```
data_Sr3Pu2NbN6
_space_group_name_H-M_alt 'P 1'
_space_group_IT_number 1
_space_group_name_Hall 'P 1'
_cell_length_a 6.0038
_cell_length_b 6.0038
_cell_length_c 6.2392
_cell_angle_alpha 99.21
_cell_angle_beta 99.21
_cell_angle_gamma 120.01
loop_
_atom_site_label
_atom_site_type_symbol
_atom_site_fract_x
_atom_site_fract_y
_atom_site_fract_z
Sr1 Sr 0.1641 0.8359 0.5000
Sr2 Sr 0.8359 0.1641 0.5000
Sr3 Sr 0.5000 0.5000 0.5000
Pu1 Pu 0.3332 0.6668 0.0000
Pu2 Pu 0.6668 0.3332 0.0000
Nb1 Nb 0.0000 0.0000 0.0000
N1 N 0.9342 0.6170 0.8029
N2 N 0.7484 0.7484 0.1974
N3 N 0.0658 0.3830 0.1971
N4 N 0.6170 0.9342 0.8029
N5 N 0.2516 0.2516 0.8026
N6 N 0.3830 0.0658 0.1971
```